No. 1
Material: SrB2Rh2
Method: DFT, PBE-GGA
State: optimized geometry

Cell: 7.1256 6.1448 5.6185 Å, 74.41 56.17 49.42°
Positions (direct):
Sr 0.1250 0.1250 0.1250
Sr 0.8750 0.8750 0.8750
B 0.2023 0.5477 0.2023
B 0.4523 0.7977 0.4523
B 0.5477 0.2023 0.5477
B 0.7977 0.4523 0.7977
Rh 0.2439 0.2439 0.5061
Rh 0.4939 0.4939 0.7561
Rh 0.5061 0.5061 0.2439
Rh 0.7561 0.7561 0.4939

DFT total energy (eV/atom): -6.51
DOS at the Fermi energy (states/eV per cell): 1.5
Energy of formation from the pure elements (eV/atom): -0.56
SG: Fddd (70)
Calculated volume (Å³/cell): 153.49
Theoretical density (g cm⁻³): 6.82

***

No. 2
Material: SrB3Rh
Method: DFT, PBE-GGA
State: optimized geometry

Cell: 4.1527 4.1527 4.1527 Å, 90.00 90.00 90.00°
Positions (direct):
Sr 0.0000 0.0000 0.0000
B 0.0000 0.5000 0.5000
B 0.5000 0.0000 0.5000
B 0.5000 0.5000 0.0000
Rh 0.5000 0.5000 0.5000

DFT total energy (eV/atom): -5.30
DOS at the Fermi energy (states/eV per cell): 1.9
Energy of formation from the pure elements (eV/atom): 0.51
SG: Pm-3m (221)
Calculated volume (Å³/cell): 71.61
Theoretical density (g cm⁻³): 5.17

***

No. 3
Material: SrB6Rh12
Method: DFT, PBE-GGA
State: optimized geometry

Cell: 6.5154 6.5154 6.5154 Å, 104.00 104.00 104.00°
Positions (direct):
Sr 0.0000 0.0000 0.0000
B 0.2335 0.2335 0.6677
B 0.2335 0.6677 0.2335
B 0.3323 0.7665 0.7665
B 0.6677 0.2335 0.2335
B 0.7665 0.3323 0.7665
B 0.7665 0.7665 0.3323
Rh 0.1335 0.5000 0.8665
Rh 0.1335 0.8665 0.5000
Rh 0.1869 0.4540 0.4540
Rh 0.4540 0.1869 0.4540
Rh 0.4540 0.4540 0.1869
Rh 0.5000 0.1335 0.8665
Rh 0.5000 0.8665 0.1335
Rh 0.5460 0.5460 0.8131
Rh 0.5460 0.8131 0.5460
Rh 0.8131 0.5460 0.5460
Rh 0.8665 0.1335 0.5000
Rh 0.8665 0.5000 0.1335

DFT total energy (eV/atom): -7.19
DOS at the Fermi energy (states/eV per cell): 19.6
Energy of formation from the pure elements (eV/atom): -0.35
SG: R-3m (166)
Calculated volume (Å³/cell): 246.77
Theoretical density (g cm⁻³): 9.34

***

No. 4
Material: SrB3Rh
Method: DFT, PBE-GGA
State: optimized geometry

Cell: 4.4756 4.4756 4.4756 Å, 90.00 90.00 90.00°
Positions (direct):
Sr 0.0000 0.0000 0.0000
B 0.0000 0.0000 0.5000
B 0.0000 0.5000 0.0000
B 0.5000 0.0000 0.0000
Rh 0.5000 0.5000 0.5000

DFT total energy (eV/atom): -2.65
DOS at the Fermi energy (states/eV per cell): 4.6
Energy of formation from the pure elements (eV/atom): 3.16
SG: Pm-3m (221)
Calculated volume (Å³/cell): 89.65
Theoretical density (g cm⁻³): 4.13

***

No. 5
Material: SrB4Rh12
Method: DFT, PBE-GGA
State: optimized geometry

Cell: 6.7492 6.7492 6.7492 Å, 109.47 109.47 109.47°
Positions (direct):
Sr 0.0000 0.0000 0.0000
B 0.0000 0.0000 0.5000
B 0.0000 0.5000 0.0000
B 0.5000 0.0000 0.0000
B 0.5000 0.5000 0.5000
Rh 0.1539 0.8272 0.3267
Rh 0.1728 0.3267 0.4994
Rh 0.1728 0.6733 0.8461
Rh 0.3267 0.1539 0.8272
Rh 0.3267 0.4994 0.1728
Rh 0.4994 0.1728 0.3267
Rh 0.5006 0.8272 0.6733
Rh 0.6733 0.5006 0.8272
Rh 0.6733 0.8461 0.1728
Rh 0.8272 0.3267 0.1539
Rh 0.8272 0.6733 0.5006
Rh 0.8461 0.1728 0.6733

DFT total energy (eV/atom): -6.83
DOS at the Fermi energy (states/eV per cell): 33.3
Energy of formation from the pure elements (eV/atom): 0.03
SG: Im-3 (204)
Calculated volume (Å³/cell): 236.67
Theoretical density (g cm⁻³): 9.58

***

No. 6
Material: Sr2TlBRh
Method: DFT, PBE-GGA
State: optimized geometry

Cell: 5.8972 5.8972 4.0827 Å, 90.00 90.00 90.00°
Positions (direct):
Sr 0.0000 0.5000 0.0000
Sr 0.5000 0.0000 0.0000
Tl 0.0000 0.0000 0.5000
B 0.5000 0.5000 0.5000
Rh 0.5000 0.5000 0.0000

DFT total energy (eV/atom): -3.93
DOS at the Fermi energy (states/eV per cell): 4.1
Energy of formation from the pure elements (eV/atom): 0.02
SG: P4/mmm (123)
Calculated volume (Å³/cell): 141.98
Theoretical density (g cm⁻³): 5.77

***

No. 7
Material: Sr2ZnB2Rh5
Method: DFT, PBE-GGA
State: optimized geometry

Cell: 10.0358 10.0358 3.0379 Å, 90.00 90.00 90.00°
Positions (direct):
Sr 0.1786 0.3214 0.0000
Sr 0.3214 0.8214 0.0000
Sr 0.6786 0.1786 0.0000
Sr 0.8214 0.6786 0.0000
Zn 0.0000 0.0000 0.0000
Zn 0.5000 0.5000 0.0000
B 0.1216 0.6216 0.0000
B 0.3784 0.1216 0.0000
B 0.6216 0.8784 0.0000
B 0.8784 0.3784 0.0000
Rh 0.0000 0.5000 0.5000
Rh 0.0680 0.7732 0.5000
Rh 0.2268 0.0680 0.5000
Rh 0.2732 0.5680 0.5000
Rh 0.4320 0.2732 0.5000
Rh 0.5000 0.0000 0.5000
Rh 0.5680 0.7268 0.5000
Rh 0.7268 0.4320 0.5000
Rh 0.7732 0.9320 0.5000
Rh 0.9320 0.2268 0.5000

DFT total energy (eV/atom): -5.82
DOS at the Fermi energy (states/eV per cell): 8.6
Energy of formation from the pure elements (eV/atom): -0.35
SG: P4/mbm (127)
Calculated volume (Å³/cell): 305.96
Theoretical density (g cm⁻³): 8.43

***

No. 8
Material: Ta2B2Rh
Method: DFT, PBE-GGA
State: optimized geometry

Cell: 5.8090 5.8090 3.5585 Å, 90.00 90.00 90.00°
Positions (direct):
Ta 0.1744 0.3256 0.0000
Ta 0.3256 0.8256 0.0000
Ta 0.6744 0.1744 0.0000
Ta 0.8256 0.6744 0.0000
B 0.1144 0.6144 0.5000
B 0.3856 0.1144 0.5000
B 0.6144 0.8856 0.5000
B 0.8856 0.3856 0.5000
Rh 0.0000 0.0000 0.5000
Rh 0.5000 0.5000 0.5000

DFT total energy (eV/atom): -9.54
DOS at the Fermi energy (states/eV per cell): 5.5
Energy of formation from the pure elements (eV/atom): -0.66
SG: P4/mbm (127)
Calculated volume (Å³/cell): 120.08
Theoretical density (g cm⁻³): 13.45

***

> Which formula does entry 6 have?

Sr2TlBRh

***

> What is the DOS at the Fermi energy in the seventh record?

8.6 states/eV per cell